{"formula": "ScSnAs2O", "functional": "PBE-GGA", "state": "relaxed", "vol_a3_per_atom": 28.84, "density_g_cm3": 3.79, "energy_ev_per_atom": -3.906, "sg": "No. 123", "magnetic_moment_mub_per_fu": 0.001, "lattice": [[5.0725, 0.0000, 0.0000], [0.0000, 5.6039, 0.0000], [0.0000, 0.0000, 5.0725]], "species": ["As", "As", "Sn", "O", "Sc"], "fractional_positions": [[0.5000, 0.0000, 0.0000], [0.0000, 0.0000, 0.5000], [0.0000, 0.0000, 0.0000], [0.5000, 0.5000, 0.5000], [0.0000, 0.5000, 0.0000]]}